(1)
This record from Alexandria describes Ta2SbI after structural relaxation. The functional is PBE-GGA.

Output
Symmetry: I-42d
E above lowest polymorph: 0.643 eV/atom
Uncorrected formation energy: 465 kJ/mol of formula units
Crystal system: tetragonal

Structure (POSCAR):
```
Ta2SbI
1.0
-3.0299 6.9729 1.2852
-1.8881 -2.1406 7.1629
0.3807 3.4549 5.2829
I Sb Ta
2 2 4
Cartesian
0.0000 0.0000 0.0000
-2.5541 6.4220 5.3961
-2.4590 2.4162 4.2240
-1.9832 1.8653 8.3349
-2.0157 4.9108 3.0113
-1.4825 0.4409 5.9662
-1.5705 4.3900 7.1748
-4.0060 6.8328 11.3096
```



(2)
This record from Alexandria describes HoTlPd2 after structural relaxation. The functional is PBE-GGA.

Output
ΔE_f: -578 meV per atom
Symmetry: P4/mmm
Crystal system: tetragonal

Structure (POSCAR):
```
HoTlPd2
1.0
3.5375 0.0000 0.0000
0.0000 3.5375 0.0000
0.0000 0.0000 6.5647
Tl Ho Pd
1 1 2
Cartesian
1.7687 1.7687 3.2823
1.7687 1.7687 0.0000
0.0000 0.0000 4.9767
0.0000 0.0000 1.5880
```



(3)
This record from Alexandria describes CoGe2Pt after structural relaxation. The functional is PBE-GGA.

Output
ΔE_f: 118 meV per atom
Symmetry: I-42d
E above lowest polymorph: 0.266 eV/atom
Crystal system: tetragonal

Structure (POSCAR):
```
CoGe2Pt
1.0
-0.6885 0.4724 -5.3787
-0.7415 -5.3791 -0.3776
-6.0574 -1.7691 -2.1342
Ge Co Pt
4 2 2
Cartesian
-2.0191 -0.8319 -3.7998
-2.0821 -3.7327 -1.5845
-5.0989 -3.3095 -3.7693
-5.7746 -5.4776 -6.6274
-0.7150 -2.4534 -2.8781
-3.7569 -4.8008 -2.6950
0.0000 0.0000 0.0000
-3.7304 -1.8750 -5.1955
```



(4)
This record from Alexandria describes LiZnTc4 after structural relaxation. The functional is PBE-GGA.

Output
ΔE_f: 420 meV per atom
Symmetry: F-43m
Crystal system: cubic

Structure (POSCAR):
```
LiZnTc4
1.0
0.0000 3.6222 3.6222
3.6222 0.0000 3.6222
3.6222 3.6222 0.0000
Li Zn Tc
1 1 4
Cartesian
0.0000 0.0000 0.0000
5.4333 5.4333 5.4333
2.7158 4.5286 4.5286
4.5286 4.5286 2.7158
4.5286 2.7158 4.5286
2.7158 2.7158 2.7158
```



(5)
This record from Alexandria describes LiFeSe2N after structural relaxation. The functional is PBE-GGA.

Output
Symmetry: P4/mmm
E above lowest polymorph: 1.055 eV/atom
Uncorrected formation energy: 500 kJ/mol of formula units
Crystal system: tetragonal

Structure (POSCAR):
```
LiFeSe2N
1.0
-1.7972 1.7429 -3.9859
-4.2961 -1.3896 1.3294
-0.5060 3.0648 1.5683
Li Fe Se N
1 1 2 1
Cartesian
0.0000 0.0000 0.0000
-3.2997 1.7091 -0.5441
-2.1481 -0.6948 0.6647
-0.8986 0.8715 -1.9929
-0.2530 1.5324 0.7842
```



(6)
This record from Alexandria describes LuPuGaPt after structural relaxation. The functional is PBE-GGA.

Output
ΔE_f: -660 meV per atom
Symmetry: F-43m
Crystal system: cubic

Structure (POSCAR):
```
LuPuGaPt
1.0
-4.9296 0.1952 -0.5806
-2.0009 -0.6901 -4.4941
-2.5527 -4.1492 -0.9718
Lu Ga Pt Pu
1 1 1 1
Cartesian
-4.7416 -2.3221 -3.0233
-7.1124 -3.4831 -4.5349
-2.3708 -1.1610 -1.5116
0.0000 0.0000 0.0000
```



(7)
This record from Alexandria describes Ac7Sm after structural relaxation. The functional is PBE-GGA.

Output
ΔE_f: 26 meV per atom
Symmetry: Fm-3m
Crystal system: cubic

Structure (POSCAR):
```
Ac7Sm
1.0
7.9094 0.0000 0.0000
3.9547 6.8498 0.0000
3.9547 2.2833 6.4580
Ac Sm
7 1
Cartesian
5.9321 3.4249 0.0000
5.9321 1.1416 3.2290
3.9547 4.5665 3.2290
3.9547 0.0000 0.0000
1.9774 3.4249 0.0000
1.9774 1.1416 3.2290
7.9094 4.5665 3.2290
0.0000 0.0000 0.0000
```



(8)
This record from Alexandria describes CrIn after structural relaxation. The functional is PBE-GGA.

Output
ΔE_f: 490 meV per atom
Symmetry: P2_13
Crystal system: cubic

Structure (POSCAR):
```
CrIn
1.0
-3.5895 -4.0064 -0.7349
0.1585 -1.1161 5.3108
-4.0701 3.4898 0.8549
Cr In
4 4
Cartesian
-3.9265 2.0637 3.8854
-2.9945 -0.6518 2.1680
-5.6570 -1.6184 0.3881
-2.4243 -3.0589 4.4202
-3.7319 -0.5589 5.0185
-0.7103 -0.1546 0.5143
-5.7551 0.3244 2.4894
-4.8050 -2.8763 2.8395
```



(9)
This record from Alexandria describes Cu4Pt after structural relaxation. The functional is PBE-GGA.

Output
ΔE_f: 1016 meV per atom
Symmetry: Pm-3m
E above lowest polymorph: 1.118 eV/atom
Crystal system: cubic

Structure (POSCAR):
```
Cu4Pt
1.0
4.6712 0.0000 0.0000
0.0000 4.6712 0.0000
0.0000 0.0000 4.6712
Cu Pt
4 1
Cartesian
0.0000 0.0000 0.0000
2.3356 0.0000 2.3356
0.0000 2.3356 2.3356
2.3356 2.3356 0.0000
2.3356 2.3356 2.3356
```



(10)
This record from Alexandria describes Hf5Ga4H after structural relaxation. The functional is PBE-GGA.

Output
Symmetry: I4
Total energy: -6.706 eV per atom
Crystal system: tetragonal

Structure (POSCAR):
```
Hf5Ga4H
1.0
5.1822 0.0000 0.0000
2.5911 5.8714 0.0000
2.5911 0.0000 5.8714
Hf Ga H
5 4 1
Cartesian
7.6996 2.0277 5.3757
5.1085 5.3757 3.8436
5.1085 0.4957 2.0277
2.5174 3.8436 0.4957
2.6049 0.0000 0.0000
5.1219 2.3283 4.0846
7.7130 4.0846 3.5431
2.5307 1.7868 2.3283
5.1219 3.5431 1.7868
0.5762 0.0000 0.0000
```



(11)
This record from Alexandria describes CaSm4Th3Se8 after structural relaxation. The functional is PBE-GGA.

Output
Symmetry: R-3m
Uncorrected formation energy: -2649 kJ/mol of formula units
Crystal system: trigonal

Structure (POSCAR):
```
CaSm4Th3Se8
1.0
8.3619 0.0000 0.0000
0.0000 8.3794 0.0082
-4.1809 -4.1758 5.9146
Ca Sm Th Se
1 4 3 8
Cartesian
0.0000 4.1897 0.0041
4.1809 0.0000 0.0000
2.0905 -2.0879 2.9573
0.0000 0.0000 0.0000
-2.0905 -2.0879 2.9573
4.1809 4.1897 0.0041
2.0905 2.1018 2.9614
-2.0905 2.1018 2.9614
2.0604 6.2782 0.0237
0.0000 4.2205 2.9381
0.0000 -0.0254 2.9355
6.3015 6.2782 0.0237
-2.1206 -2.0745 5.8991
4.1809 4.2290 2.9874
4.1809 -0.0168 2.9848
2.1206 -2.0745 5.8991
```



(12)
This record from Alexandria describes MnGaAs2Se after structural relaxation. The functional is PBE-GGA.

Output
Symmetry: P4/mmm
E above lowest polymorph: 0.000 eV/atom
Uncorrected formation energy: 125 kJ/mol of formula units
Crystal system: tetragonal

Structure (POSCAR):
```
MnGaAs2Se
1.0
-1.0974 -4.3201 -0.8683
2.9583 -1.3855 3.1544
-3.8356 0.2309 3.6987
As Mn Ga Se
2 1 1 1
Cartesian
1.4792 -0.6927 1.5772
-0.5487 -2.1600 -0.4342
0.0000 0.0000 0.0000
-0.9873 -2.7373 2.9924
-1.9178 0.1155 1.8493
```



Which formula does entry 3 have?
CoGe2Pt